VASP calculation (PBE) on an optimized crystal structure of Tl2FeAg.

Summary:
- total DFT energy (no corrections) (eV/atom) = -3.5148
- E_form (eV per atom) = 0.497
- relative energy among the computed polymorphs (meV per atom) = 86

a b c (Å): 3.167 3.167 9.253
angles (deg): 90.00 90.00 113.90
Element x y z (fractional)
Ag1 0.500 0.500 0.250
Fe1 0.500 0.500 0.750
Tl1 0.000 0.000 0.986
Tl2 0.000 0.000 0.514